#i
Sr2MoH6Pd | GGA-PBE | optimized geometry

Geometry as extended XYZ:
```
20
Lattice="-3.384 -1.525 -4.045 -3.660 -1.823 3.749 0.033 8.440 4.136" Properties=species:S:1:pos:R:3 pbc="T T T"
H -3.420 -1.583 -2.107
H -3.624 -1.765 1.811
H -5.273 -2.503 -0.185
H -6.209 -0.867 1.716
H -2.640 0.832 1.922
H -1.775 3.365 1.979
H -3.563 2.478 3.833
H -3.448 2.614 0.008
H -5.236 1.727 1.862
H -4.371 4.260 1.918
H -0.802 5.959 2.125
H -1.738 7.595 4.026
Mo -1.692 -0.762 -2.023
Mo -3.505 2.546 1.920
Pd -1.830 -0.912 1.875
Pd 0.017 4.220 2.068
Sr -4.359 0.054 -0.126
Sr -4.498 -0.093 3.771
Sr -2.513 5.185 0.069
Sr -2.652 5.038 3.966
```

Results
Magnetic moment ... 2.001 μB per formula unit

#ii
Sr2MoH6Pd | GGA-PBE | optimized geometry

Geometry as extended XYZ:
```
10
Lattice="-5.383 -0.406 1.176 -2.776 4.313 2.055 -3.766 2.650 -3.053" Properties=species:S:1:pos:R:3 pbc="T T T"
H -5.748 1.370 0.678
H -4.357 3.887 1.132
H -7.132 3.644 1.607
H -7.612 2.839 -0.856
H -6.353 5.116 -0.435
H -4.892 2.989 -1.585
Mo -11.860 6.521 0.177
Pd -5.788 3.182 0.086
Sr -2.926 1.609 0.044
Sr -8.897 4.892 0.133
```

Results
Magnetic moment ... 2.000 μB per formula unit

It comes down to #ii, which is 0.5 kJ/mol of atoms more stable than the next structure.